Entry from Alexandria via LeMat-Bulk: a relaxed Sm4P3H crystal (PBE-GGA).

```
data_Sm4P3H
_chemical_formula_sum 'Sm8 P6 H2'
_cell_length_a 8.0876
_cell_length_b 11.3490
_cell_length_c 4.0530
_cell_angle_alpha 90.00
_cell_angle_beta 90.00
_cell_angle_gamma 90.00
_symmetry_space_group_name_H-M 'C m m m'
_symmetry_Int_Tables_number 65
_symmetry_space_group_name_Hall '-C 2 2'
loop_
_atom_site_label
_atom_site_type_symbol
_atom_site_fract_x
_atom_site_fract_y
_atom_site_fract_z
Sm1 Sm 0.0000 0.2491 0.0000
Sm2 Sm 0.2414 0.0000 0.5000
P1 P 0.0000 0.0000 0.0000
P2 P 0.2500 0.2500 0.5000
H1 H 0.0000 0.5000 0.0000
```

Computed properties:
The total energy comes out at -0.44599 Ry/atom. The density of states at the Fermi level is 8.3 states/eV per cell. For the theoretical density, the calculation gives 6.2 Mg/m³.


Entry from Alexandria via LeMat-Bulk: a relaxed Sm12P3H5 crystal (PBE-GGA).

```
data_Sm12P3H5
_chemical_formula_sum 'Sm96 P24 H40'
_cell_length_a 15.3296
_cell_length_b 15.3296
_cell_length_c 15.3296
_cell_angle_alpha 90.00
_cell_angle_beta 90.00
_cell_angle_gamma 90.00
_symmetry_space_group_name_H-M 'I a -3 d'
_symmetry_Int_Tables_number 230
_symmetry_space_group_name_Hall '-I 4bd 2c 3'
loop_
_atom_site_label
_atom_site_type_symbol
_atom_site_fract_x
_atom_site_fract_y
_atom_site_fract_z
Sm1 Sm 0.0351 0.0626 0.6549
P1 P 0.0000 0.2500 0.1250
H1 H 0.0000 0.0000 0.0000
H2 H 0.0000 0.2500 0.3750
```

Computed properties:
The total energy comes out at -0.36859 Ry/atom. The density of states at the Fermi level is 122.8 states/eV per cell. For the theoretical density, the calculation gives 7.0 Mg/m³.


Entry from Alexandria via LeMat-Bulk: a relaxed SmTcPH2 crystal (PBE-GGA).

```
data_SmTcPH2
_chemical_formula_sum 'Sm4 Tc4 P4 H8'
_cell_length_a 3.8044
_cell_length_b 10.3670
_cell_length_c 6.1236
_cell_angle_alpha 90.00
_cell_angle_beta 90.00
_cell_angle_gamma 90.00
_symmetry_space_group_name_H-M 'C m c m'
_symmetry_Int_Tables_number 63
_symmetry_space_group_name_Hall '-C 2c 2'
loop_
_atom_site_label
_atom_site_type_symbol
_atom_site_fract_x
_atom_site_fract_y
_atom_site_fract_z
Sm1 Sm 0.0000 0.2108 0.2500
Tc1 Tc 0.0000 0.5000 0.0000
P1 P 0.0000 0.0695 0.7500
H1 H 0.0000 0.3325 0.5589
```

Computed properties:
The total energy comes out at -0.44882 Ry/atom. The density of states at the Fermi level is 6.1 states/eV per cell. For the theoretical density, the calculation gives 7.7 Mg/m³.


Entry from Alexandria via LeMat-Bulk: a relaxed Sm3TePH crystal (PBE-GGA).

```
data_Sm3TePH
_chemical_formula_sum 'Sm6 Te2 P2 H2'
_cell_length_a 8.5960
_cell_length_b 4.0685
_cell_length_c 8.8046
_cell_angle_alpha 90.00
_cell_angle_beta 103.06
_cell_angle_gamma 90.00
_symmetry_space_group_name_H-M 'P 1 21/m 1'
_symmetry_Int_Tables_number 11
_symmetry_space_group_name_Hall '-P 2yb'
loop_
_atom_site_label
_atom_site_type_symbol
_atom_site_fract_x
_atom_site_fract_y
_atom_site_fract_z
Sm1 Sm 0.0607 0.2500 0.3326
Sm2 Sm 0.2989 0.2500 0.9774
Sm3 Sm 0.3822 0.7500 0.6347
Te1 Te 0.3240 0.7500 0.2665
P1 P 0.1644 0.2500 0.6591
H1 H 0.4220 0.7500 0.9120
```

Computed properties:
The total energy comes out at -0.40376 Ry/atom. The density of states at the Fermi level is 6.7 states/eV per cell. For the theoretical density, the calculation gives 6.8 Mg/m³.


Entry from Alexandria via LeMat-Bulk: a relaxed SnPH crystal (PBE-GGA).

```
data_SnPH
_chemical_formula_sum 'Sn2 P2 H2'
_cell_length_a 5.1168
_cell_length_b 5.1243
_cell_length_c 5.1426
_cell_angle_alpha 99.44
_cell_angle_beta 103.65
_cell_angle_gamma 99.50
_symmetry_space_group_name_H-M 'P -1'
_symmetry_Int_Tables_number 2
_symmetry_space_group_name_Hall '-P 1'
loop_
_atom_site_label
_atom_site_type_symbol
_atom_site_fract_x
_atom_site_fract_y
_atom_site_fract_z
Sn1 Sn 0.2327 0.0006 0.2676
P1 P 0.4237 0.6698 0.9249
H1 H 0.2000 0.5062 0.7040
```

Computed properties:
The total energy comes out at -0.30705 Ry/atom. The energy above the lowest structure with this stoichiometry comes out at 0 meV per atom. The density of states at the Fermi level is 1.5 states/eV per cell. For the theoretical density, the calculation gives 4.0 Mg/m³.


Entry from Alexandria via LeMat-Bulk: a relaxed Sn2PH crystal (PBE-GGA).

```
data_Sn2PH
_chemical_formula_sum 'Sn8 P4 H4'
_cell_length_a 6.7155
_cell_length_b 6.7155
_cell_length_c 6.7155
_cell_angle_alpha 90.00
_cell_angle_beta 90.00
_cell_angle_gamma 90.00
_symmetry_space_group_name_H-M 'F m -3 m'
_symmetry_Int_Tables_number 225
_symmetry_space_group_name_Hall '-F 4 2 3'
loop_
_atom_site_label
_atom_site_type_symbol
_atom_site_fract_x
_atom_site_fract_y
_atom_site_fract_z
Sn1 Sn 0.2500 0.2500 0.2500
P1 P 0.0000 0.0000 0.0000
H1 H 0.0000 0.0000 0.5000
```

Computed properties:
The total energy comes out at -0.27707 Ry/atom. The energy above the lowest structure with this stoichiometry comes out at 114 meV per atom. The density of states at the Fermi level is 7.4 states/eV per cell. For the theoretical density, the calculation gives 5.9 Mg/m³.


Entry from Alexandria via LeMat-Bulk: a relaxed Sn2P2H crystal (PBE-GGA).

```
data_Sn2P2H
_chemical_formula_sum 'Sn4 P4 H2'
_cell_length_a 3.2915
_cell_length_b 3.2915
_cell_length_c 17.2255
_cell_angle_alpha 90.00
_cell_angle_beta 90.00
_cell_angle_gamma 90.00
_symmetry_space_group_name_H-M 'I 4/m m m'
_symmetry_Int_Tables_number 139
_symmetry_space_group_name_Hall '-I 4 2'
loop_
_atom_site_label
_atom_site_type_symbol
_atom_site_fract_x
_atom_site_fract_y
_atom_site_fract_z
Sn1 Sn 0.0000 0.0000 0.0910
P1 P 0.0000 0.5000 0.2500
H1 H 0.0000 0.0000 0.5000
```

Computed properties:
The total energy comes out at -0.29423 Ry/atom. The density of states at the Fermi level is 5.1 states/eV per cell. For the theoretical density, the calculation gives 5.3 Mg/m³.


Entry from Alexandria via LeMat-Bulk: a relaxed SnPH crystal (PBE-GGA).

```
data_SnPH
_chemical_formula_sum 'Sn2 P2 H2'
_cell_length_a 3.9678
_cell_length_b 3.9678
_cell_length_c 6.4696
_cell_angle_alpha 90.00
_cell_angle_beta 90.00
_cell_angle_gamma 90.00
_symmetry_space_group_name_H-M 'I 4 m m'
_symmetry_Int_Tables_number 107
_symmetry_space_group_name_Hall 'I 4 -2'
loop_
_atom_site_label
_atom_site_type_symbol
_atom_site_fract_x
_atom_site_fract_y
_atom_site_fract_z
Sn1 Sn 0.0000 0.0000 0.0000
P1 P 0.0000 0.0000 0.5571
H1 H 0.0000 0.0000 0.3155
```

Computed properties:
The total energy comes out at -0.29808 Ry/atom. The energy above the lowest structure with this stoichiometry comes out at 122 meV per atom. The density of states at the Fermi level is 2.3 states/eV per cell. For the theoretical density, the calculation gives 4.9 Mg/m³.


Entry from Alexandria via LeMat-Bulk: a relaxed SnPH3 crystal (PBE-GGA).

```
data_SnPH3
_chemical_formula_sum 'Sn1 P1 H3'
_cell_length_a 3.7167
_cell_length_b 3.7167
_cell_length_c 3.7167
_cell_angle_alpha 90.00
_cell_angle_beta 90.00
_cell_angle_gamma 90.00
_symmetry_space_group_name_H-M 'P m -3 m'
_symmetry_Int_Tables_number 221
_symmetry_space_group_name_Hall '-P 4 2 3'
loop_
_atom_site_label
_atom_site_type_symbol
_atom_site_fract_x
_atom_site_fract_y
_atom_site_fract_z
Sn1 Sn 0.0000 0.0000 0.0000
P1 P 0.5000 0.5000 0.5000
H1 H 0.0000 0.5000 0.5000
```

Computed properties:
The total energy comes out at -0.24364 Ry/atom. The density of states at the Fermi level is 1.8 states/eV per cell. For the theoretical density, the calculation gives 4.9 Mg/m³.


Entry from Alexandria via LeMat-Bulk: a relaxed Sn2PH crystal (PBE-GGA).

```
data_Sn2PH
_chemical_formula_sum 'Sn8 P4 H4'
_cell_length_a 5.8396
_cell_length_b 5.8396
_cell_length_c 10.4019
_cell_angle_alpha 90.00
_cell_angle_beta 90.00
_cell_angle_gamma 90.00
_symmetry_space_group_name_H-M 'I -4 2 d'
_symmetry_Int_Tables_number 122
_symmetry_space_group_name_Hall 'I -4 2bw'
loop_
_atom_site_label
_atom_site_type_symbol
_atom_site_fract_x
_atom_site_fract_y
_atom_site_fract_z
Sn1 Sn 0.1899 0.2500 0.1250
P1 P 0.0000 0.0000 0.5000
H1 H 0.0000 0.0000 0.0000
```

Computed properties:
The total energy comes out at -0.28545 Ry/atom. The energy above the lowest structure with this stoichiometry comes out at 0 meV per atom. The density of states at the Fermi level is 0.6 states/eV per cell. For the theoretical density, the calculation gives 5.0 Mg/m³.


What is the formula in the second record?
Sm12P3H5


What is the theoretical density in the eighth record?
4.9 Mg/m³


Please write out number 7 again, unchanged.
Entry from Alexandria via LeMat-Bulk: a relaxed Sn2P2H crystal (PBE-GGA).

```
data_Sn2P2H
_chemical_formula_sum 'Sn4 P4 H2'
_cell_length_a 3.2915
_cell_length_b 3.2915
_cell_length_c 17.2255
_cell_angle_alpha 90.00
_cell_angle_beta 90.00
_cell_angle_gamma 90.00
_symmetry_space_group_name_H-M 'I 4/m m m'
_symmetry_Int_Tables_number 139
_symmetry_space_group_name_Hall '-I 4 2'
loop_
_atom_site_label
_atom_site_type_symbol
_atom_site_fract_x
_atom_site_fract_y
_atom_site_fract_z
Sn1 Sn 0.0000 0.0000 0.0910
P1 P 0.0000 0.5000 0.2500
H1 H 0.0000 0.0000 0.5000
```

Computed properties:
The total energy comes out at -0.29423 Ry/atom. The density of states at the Fermi level is 5.1 states/eV per cell. For the theoretical density, the calculation gives 5.3 Mg/m³.


What is the theoretical density in the fourth record?
6.8 Mg/m³